Below is a geometry-optimized LiNi2Os structure, with properties calculated at the GGA-PBEsol level.

V: 93.83 Å³ per cell
relative energy among the computed polymorphs: 33 meV/atom
formation energy from the elements: 0.0660 eV per atom

```
data_LiNi2Os
_symmetry_space_group_name_H-M 'C 1 m 1'
_symmetry_Int_Tables_number 8
_cell_length_a 8.8916
_cell_length_b 2.5183
_cell_length_c 4.3358
_cell_angle_alpha 90.00
_cell_angle_beta 104.89
_cell_angle_gamma 90.00
loop_
_symmetry_equiv_pos_as_xyz
'x,y,z'
'x,-y,z'
'x+1/2,y+1/2,z'
'x+1/2,-y+1/2,z'
loop_
_atom_site_label
_atom_site_fract_x
_atom_site_fract_y
_atom_site_fract_z
_atom_site_occupancy
Li1 0.0000 0.0000 0.0000 1
Ni1 0.0283 0.5000 0.5086 1
Ni2 0.2425 0.0000 0.8600 1
Os1 0.2846 0.5000 0.3754 1
```



Below is a geometry-optimized LiNi2Os structure, with properties calculated at the GGA-PBEsol level.

V: 46.09 Å³ per cell
relative energy among the computed polymorphs: 0 meV/atom
formation energy from the elements: 0.0327 eV per atom

```
data_LiNi2Os
_symmetry_space_group_name_H-M 'P m m 2'
_symmetry_Int_Tables_number 25
_cell_length_a 2.5156
_cell_length_b 4.1463
_cell_length_c 4.4191
_cell_angle_alpha 90.00
_cell_angle_beta 90.00
_cell_angle_gamma 90.00
loop_
_symmetry_equiv_pos_as_xyz
'x,y,z'
'-x,-y,z'
'-x,y,z'
'x,-y,z'
loop_
_atom_site_label
_atom_site_fract_x
_atom_site_fract_y
_atom_site_fract_z
_atom_site_occupancy
Li1 0.0000 0.0000 0.0000 1
Ni1 0.5000 0.0000 0.4853 1
Ni2 0.5000 0.5000 0.1275 1
Os1 0.0000 0.5000 0.6318 1
```



Below is a geometry-optimized LiNiOs2 structure, with properties calculated at the GGA-PBEsol level.

V: 102.34 Å³ per cell
relative energy among the computed polymorphs: 0 meV/atom
formation energy from the elements: 0.3446 eV per atom

```
data_LiNiOs2
_symmetry_space_group_name_H-M 'C 1 2/m 1'
_symmetry_Int_Tables_number 12
_cell_length_a 5.1289
_cell_length_b 8.5987
_cell_length_c 2.5548
_cell_angle_alpha 90.00
_cell_angle_beta 114.73
_cell_angle_gamma 90.00
loop_
_symmetry_equiv_pos_as_xyz
'x,y,z'
'-x,-y,-z'
'-x,y,-z'
'x,-y,z'
'x+1/2,y+1/2,z'
'-x+1/2,-y+1/2,-z'
'-x+1/2,y+1/2,-z'
'x+1/2,-y+1/2,z'
loop_
_atom_site_label
_atom_site_fract_x
_atom_site_fract_y
_atom_site_fract_z
_atom_site_occupancy
Li1 0.0000 0.0000 0.0000 1
Ni1 0.0000 0.5000 0.0000 1
Os1 0.2500 0.2500 0.5000 1
```



Below is a geometry-optimized LiNiOs2 structure, with properties calculated at the GGA-PBEsol level.

V: 50.11 Å³ per cell
relative energy among the computed polymorphs: 56 meV/atom
formation energy from the elements: 0.4009 eV per atom

```
data_LiNiOs2
_symmetry_space_group_name_H-M 'P m m m'
_symmetry_Int_Tables_number 47
_cell_length_a 2.5503
_cell_length_b 3.9080
_cell_length_c 5.0274
_cell_angle_alpha 90.00
_cell_angle_beta 90.00
_cell_angle_gamma 90.00
loop_
_symmetry_equiv_pos_as_xyz
'x,y,z'
'-x,-y,-z'
'-x,-y,z'
'x,y,-z'
'x,-y,-z'
'-x,y,z'
'-x,y,-z'
'x,-y,z'
loop_
_atom_site_label
_atom_site_fract_x
_atom_site_fract_y
_atom_site_fract_z
_atom_site_occupancy
Li1 0.0000 0.0000 0.0000 1
Ni1 0.0000 0.0000 0.5000 1
Os1 0.5000 0.5000 0.2439 1
```



Below is a geometry-optimized LiNi6Os structure, with properties calculated at the GGA-PBEsol level.

V: 695.79 Å³ per cell
formation energy from the elements: 0.0529 eV per atom

```
data_LiNi6Os
_symmetry_space_group_name_H-M 'C m m m'
_symmetry_Int_Tables_number 65
_symmetry_space_group_name_Hall '-C 2 2'
_cell_length_a 7.0297
_cell_length_b 9.9453
_cell_length_c 9.9523
_cell_angle_alpha 90.00
_cell_angle_beta 90.00
_cell_angle_gamma 90.00
loop_
_atom_site_label
_atom_site_fract_x
_atom_site_fract_y
_atom_site_fract_z
_atom_site_occupancy
Li1 0.0000 0.0000 0.2476 1
Li2 0.0000 0.2542 0.0000 1
Ni1 0.0000 0.0000 0.0000 1
Ni2 0.0000 0.0000 0.5000 1
Ni3 0.0000 0.2511 0.2511 1
Ni4 0.0000 0.5000 0.0000 1
Ni5 0.0000 0.5000 0.5000 1
Ni6 0.2473 0.3743 0.3740 1
Ni7 0.2484 0.1248 0.1243 1
Os1 0.0000 0.2450 0.5000 1
Os2 0.0000 0.5000 0.2403 1
```



Below is a geometry-optimized LiNi2Os structure, with properties calculated at the GGA-PBEsol level.

V: 92.61 Å³ per cell
relative energy among the computed polymorphs: 169 meV/atom
formation energy from the elements: 0.2016 eV per atom

```
data_LiNi2Os
_symmetry_space_group_name_H-M 'C 1 2/m 1'
_symmetry_Int_Tables_number 12
_cell_length_a 8.3380
_cell_length_b 2.4853
_cell_length_c 4.5012
_cell_angle_alpha 90.00
_cell_angle_beta 96.83
_cell_angle_gamma 90.00
loop_
_symmetry_equiv_pos_as_xyz
'x,y,z'
'-x,-y,-z'
'-x,y,-z'
'x,-y,z'
'x+1/2,y+1/2,z'
'-x+1/2,-y+1/2,-z'
'-x+1/2,y+1/2,-z'
'x+1/2,-y+1/2,z'
loop_
_atom_site_label
_atom_site_fract_x
_atom_site_fract_y
_atom_site_fract_z
_atom_site_occupancy
Li1 0.0000 0.0000 0.0000 1
Ni1 0.2458 0.0000 0.7423 1
Os1 0.0000 0.5000 0.5000 1
```



Below is a geometry-optimized LiNi2TeOs structure, with properties calculated at the GGA-PBEsol level.

formation energy from raw total energies: 1.22 eV/atom
V: 101.65 Å³ per cell

```
data_LiNi2TeOs
_symmetry_space_group_name_H-M 'P 4/m m m'
_symmetry_Int_Tables_number 123
_symmetry_space_group_name_Hall '-P 4 2'
_cell_length_a 4.5731
_cell_length_b 4.5731
_cell_length_c 4.8607
_cell_angle_alpha 90.00
_cell_angle_beta 90.00
_cell_angle_gamma 90.00
loop_
_atom_site_label
_atom_site_fract_x
_atom_site_fract_y
_atom_site_fract_z
_atom_site_occupancy
Li1 0.0000 0.0000 0.0000 1
Ni1 0.0000 0.5000 0.5000 1
Te1 0.5000 0.5000 0.5000 1
Os1 0.5000 0.5000 0.0000 1
```



Below is a geometry-optimized LiNiP structure, with properties calculated at the GGA-PBEsol level.

V: 72.92 Å³ per cell
formation energy from the elements: -0.4371 eV per atom

```
data_LiNiP
_symmetry_space_group_name_H-M 'I 4 m m'
_symmetry_Int_Tables_number 107
_symmetry_space_group_name_Hall 'I 4 -2'
_cell_length_a 2.9600
_cell_length_b 2.9600
_cell_length_c 8.3226
_cell_angle_alpha 90.00
_cell_angle_beta 90.00
_cell_angle_gamma 90.00
loop_
_atom_site_label
_atom_site_fract_x
_atom_site_fract_y
_atom_site_fract_z
_atom_site_occupancy
Li1 0.0000 0.0000 0.0000 1
Ni1 0.0000 0.0000 0.7032 1
P1 0.0000 0.0000 0.3067 1
```